Entry A
# P2PtS2 PBE relaxed
# calculated volume	20.67	A^3/atom
data_P2PtS2
_chemical_formula_sum 'P2 Pt1 S2'
_symmetry_space_group_name_H-M 'P 4/m m m'
_symmetry_Int_Tables_number 123
_symmetry_space_group_name_Hall '-P 4 2'
_cell_length_a 4.622
_cell_length_b 4.622
_cell_length_c 4.838
_cell_angle_alpha 90.00
_cell_angle_beta 90.00
_cell_angle_gamma 90.00
loop_
_atom_site_label
_atom_site_fract_x
_atom_site_fract_y
_atom_site_fract_z
_atom_site_occupancy
P1 0.000 0.500 0.000 1
Pt1 0.000 0.000 0.000 1
S1 0.000 0.000 0.500 1
S2 0.500 0.500 0.500 1

=====

Entry B
# P2PtS2 PBE relaxed
# calculated volume	17.31	A^3/atom
data_P2PtS2
_chemical_formula_sum 'P2 Pt1 S2'
_symmetry_space_group_name_H-M 'P 4/m m m'
_symmetry_Int_Tables_number 123
_symmetry_space_group_name_Hall '-P 4 2'
_cell_length_a 4.476
_cell_length_b 4.476
_cell_length_c 4.319
_cell_angle_alpha 90.00
_cell_angle_beta 90.00
_cell_angle_gamma 90.00
loop_
_atom_site_label
_atom_site_fract_x
_atom_site_fract_y
_atom_site_fract_z
_atom_site_occupancy
P1 0.000 0.500 0.000 1
Pt1 0.000 0.000 0.500 1
S1 0.500 0.500 0.000 1
S2 0.500 0.500 0.500 1

=====

It is entry B that is the least stable of them.

=====

Entry A
# SnP2PtS PBE relaxed
# calculated volume	23.80	A^3/atom
data_SnP2PtS
_chemical_formula_sum 'Sn1 P2 Pt1 S1'
_symmetry_space_group_name_H-M 'P 4/m m m'
_symmetry_Int_Tables_number 123
_symmetry_space_group_name_Hall '-P 4 2'
_cell_length_a 4.982
_cell_length_b 4.982
_cell_length_c 4.795
_cell_angle_alpha 90.00
_cell_angle_beta 90.00
_cell_angle_gamma 90.00
loop_
_atom_site_label
_atom_site_fract_x
_atom_site_fract_y
_atom_site_fract_z
_atom_site_occupancy
Sn1 0.000 0.000 0.000 1
P1 0.000 0.500 0.000 1
Pt1 0.500 0.500 0.500 1
S1 0.000 0.000 0.500 1

=====

Entry B
# SnP2PtS PBE relaxed
# calculated volume	22.07	A^3/atom
data_SnP2PtS
_chemical_formula_sum 'Sn1 P2 Pt1 S1'
_symmetry_space_group_name_H-M 'P 4/m m m'
_symmetry_Int_Tables_number 123
_symmetry_space_group_name_Hall '-P 4 2'
_cell_length_a 4.606
_cell_length_b 4.606
_cell_length_c 5.201
_cell_angle_alpha 90.00
_cell_angle_beta 90.00
_cell_angle_gamma 90.00
loop_
_atom_site_label
_atom_site_fract_x
_atom_site_fract_y
_atom_site_fract_z
_atom_site_occupancy
Sn1 0.000 0.000 0.000 1
P1 0.000 0.500 0.500 1
Pt1 0.500 0.500 0.500 1
S1 0.500 0.500 0.000 1

=====

It is entry A that is the least stable of them.

=====

Entry A
# SrPPtS2 PBE relaxed
# calculated volume	23.25	A^3/atom
data_SrPPtS2
_chemical_formula_sum 'Sr1 P1 Pt1 S2'
_symmetry_space_group_name_H-M 'P 4/m m m'
_symmetry_Int_Tables_number 123
_symmetry_space_group_name_Hall '-P 4 2'
_cell_length_a 5.148
_cell_length_b 5.148
_cell_length_c 4.386
_cell_angle_alpha 90.00
_cell_angle_beta 90.00
_cell_angle_gamma 90.00
loop_
_atom_site_label
_atom_site_fract_x
_atom_site_fract_y
_atom_site_fract_z
_atom_site_occupancy
Sr1 0.000 0.000 0.000 1
P1 0.500 0.500 0.000 1
Pt1 0.500 0.500 0.500 1
S1 0.000 0.500 0.500 1

=====

Entry B
# SrPPtS2 PBE relaxed
# calculated volume	32.35	A^3/atom
data_SrPPtS2
_chemical_formula_sum 'Sr1 P1 Pt1 S2'
_symmetry_space_group_name_H-M 'P 4/m m m'
_symmetry_Int_Tables_number 123
_symmetry_space_group_name_Hall '-P 4 2'
_cell_length_a 5.394
_cell_length_b 5.394
_cell_length_c 5.559
_cell_angle_alpha 90.00
_cell_angle_beta 90.00
_cell_angle_gamma 90.00
loop_
_atom_site_label
_atom_site_fract_x
_atom_site_fract_y
_atom_site_fract_z
_atom_site_occupancy
Sr1 0.000 0.000 0.000 1
P1 0.000 0.000 0.500 1
Pt1 0.500 0.500 0.500 1
S1 0.000 0.500 0.000 1

=====

Entry C
# SrPPtS2 PBE relaxed
# calculated volume	23.87	A^3/atom
data_SrPPtS2
_chemical_formula_sum 'Sr1 P1 Pt1 S2'
_symmetry_space_group_name_H-M 'P 4/m m m'
_symmetry_Int_Tables_number 123
_symmetry_space_group_name_Hall '-P 4 2'
_cell_length_a 4.443
_cell_length_b 4.443
_cell_length_c 6.044
_cell_angle_alpha 90.00
_cell_angle_beta 90.00
_cell_angle_gamma 90.00
loop_
_atom_site_label
_atom_site_fract_x
_atom_site_fract_y
_atom_site_fract_z
_atom_site_occupancy
Sr1 0.000 0.000 0.000 1
P1 0.000 0.000 0.500 1
Pt1 0.500 0.500 0.000 1
S1 0.000 0.500 0.500 1

=====

It is entry B that is the least stable of them.

=====

Entry A
# SrP2PtS PBE relaxed
# calculated volume	31.11	A^3/atom
data_SrP2PtS
_chemical_formula_sum 'Sr1 P2 Pt1 S1'
_symmetry_space_group_name_H-M 'P 4/m m m'
_symmetry_Int_Tables_number 123
_symmetry_space_group_name_Hall '-P 4 2'
_cell_length_a 5.436
_cell_length_b 5.436
_cell_length_c 5.263
_cell_angle_alpha 90.00
_cell_angle_beta 90.00
_cell_angle_gamma 90.00
loop_
_atom_site_label
_atom_site_fract_x
_atom_site_fract_y
_atom_site_fract_z
_atom_site_occupancy
Sr1 0.000 0.000 0.000 1
P1 0.000 0.500 0.000 1
Pt1 0.500 0.500 0.500 1
S1 0.000 0.000 0.500 1

=====

Entry B
# SrP2PtS PBE relaxed
# calculated volume	23.01	A^3/atom
data_SrP2PtS
_chemical_formula_sum 'Sr1 P2 Pt1 S1'
_symmetry_space_group_name_H-M 'P 4/m m m'
_symmetry_Int_Tables_number 123
_symmetry_space_group_name_Hall '-P 4 2'
_cell_length_a 4.635
_cell_length_b 4.635
_cell_length_c 5.357
_cell_angle_alpha 90.00
_cell_angle_beta 90.00
_cell_angle_gamma 90.00
loop_
_atom_site_label
_atom_site_fract_x
_atom_site_fract_y
_atom_site_fract_z
_atom_site_occupancy
Sr1 0.000 0.000 0.000 1
P1 0.000 0.500 0.500 1
Pt1 0.500 0.500 0.500 1
S1 0.500 0.500 0.000 1

=====

It is entry A that is the least stable of them.

=====

Entry A
# TaP2PtS PBE relaxed
# calculated volume	21.42	A^3/atom
data_TaP2PtS
_chemical_formula_sum 'Ta1 P2 Pt1 S1'
_symmetry_space_group_name_H-M 'P 4/m m m'
_symmetry_Int_Tables_number 123
_symmetry_space_group_name_Hall '-P 4 2'
_cell_length_a 4.823
_cell_length_b 4.823
_cell_length_c 4.604
_cell_angle_alpha 90.00
_cell_angle_beta 90.00
_cell_angle_gamma 90.00
loop_
_atom_site_label
_atom_site_fract_x
_atom_site_fract_y
_atom_site_fract_z
_atom_site_occupancy
Ta1 0.000 0.000 0.000 1
P1 0.000 0.500 0.000 1
Pt1 0.500 0.500 0.500 1
S1 0.000 0.000 0.500 1

=====

Entry B
# TaP2PtS PBE relaxed
# calculated volume	19.53	A^3/atom
data_TaP2PtS
_chemical_formula_sum 'Ta1 P2 Pt1 S1'
_symmetry_space_group_name_H-M 'P 4/m m m'
_symmetry_Int_Tables_number 123
_symmetry_space_group_name_Hall '-P 4 2'
_cell_length_a 4.586
_cell_length_b 4.586
_cell_length_c 4.643
_cell_angle_alpha 90.00
_cell_angle_beta 90.00
_cell_angle_gamma 90.00
loop_
_atom_site_label
_atom_site_fract_x
_atom_site_fract_y
_atom_site_fract_z
_atom_site_occupancy
Ta1 0.000 0.000 0.000 1
P1 0.000 0.500 0.500 1
Pt1 0.500 0.500 0.500 1
S1 0.500 0.500 0.000 1

=====

It is entry B that is the least stable of them.

=====

Entry A
# TaPPtS2 PBE relaxed
# calculated volume	21.44	A^3/atom
data_TaPPtS2
_chemical_formula_sum 'Ta1 P1 Pt1 S2'
_symmetry_space_group_name_H-M 'P 4/m m m'
_symmetry_Int_Tables_number 123
_symmetry_space_group_name_Hall '-P 4 2'
_cell_length_a 4.668
_cell_length_b 4.668
_cell_length_c 4.921
_cell_angle_alpha 90.00
_cell_angle_beta 90.00
_cell_angle_gamma 90.00
loop_
_atom_site_label
_atom_site_fract_x
_atom_site_fract_y
_atom_site_fract_z
_atom_site_occupancy
Ta1 0.000 0.000 0.000 1
P1 0.000 0.000 0.500 1
Pt1 0.500 0.500 0.500 1
S1 0.000 0.500 0.000 1

=====

Entry B
# TaPPtS2 PBE relaxed
# calculated volume	19.64	A^3/atom
data_TaPPtS2
_chemical_formula_sum 'Ta1 P1 Pt1 S2'
_symmetry_space_group_name_H-M 'P 4/m m m'
_symmetry_Int_Tables_number 123
_symmetry_space_group_name_Hall '-P 4 2'
_cell_length_a 4.613
_cell_length_b 4.613
_cell_length_c 4.614
_cell_angle_alpha 90.00
_cell_angle_beta 90.00
_cell_angle_gamma 90.00
loop_
_atom_site_label
_atom_site_fract_x
_atom_site_fract_y
_atom_site_fract_z
_atom_site_occupancy
Ta1 0.000 0.000 0.000 1
P1 0.500 0.500 0.000 1
Pt1 0.500 0.500 0.500 1
S1 0.000 0.500 0.500 1

=====

It is entry B that is the least stable of them.

=====

Entry A
# TiPPtS2 PBE relaxed
# calculated volume	19.86	A^3/atom
data_TiPPtS2
_chemical_formula_sum 'Ti1 P1 Pt1 S2'
_symmetry_space_group_name_H-M 'P 4/m m m'
_symmetry_Int_Tables_number 123
_symmetry_space_group_name_Hall '-P 4 2'
_cell_length_a 4.550
_cell_length_b 4.550
_cell_length_c 4.796
_cell_angle_alpha 90.00
_cell_angle_beta 90.00
_cell_angle_gamma 90.00
loop_
_atom_site_label
_atom_site_fract_x
_atom_site_fract_y
_atom_site_fract_z
_atom_site_occupancy
Ti1 0.000 0.000 0.000 1
P1 0.000 0.000 0.500 1
Pt1 0.500 0.500 0.500 1
S1 0.000 0.500 0.000 1

=====

Entry B
# TiPPtS2 PBE relaxed
# calculated volume	20.37	A^3/atom
data_TiPPtS2
_chemical_formula_sum 'Ti1 P1 Pt1 S2'
_symmetry_space_group_name_H-M 'P 4/m m m'
_symmetry_Int_Tables_number 123
_symmetry_space_group_name_Hall '-P 4 2'
_cell_length_a 4.747
_cell_length_b 4.747
_cell_length_c 4.519
_cell_angle_alpha 90.00
_cell_angle_beta 90.00
_cell_angle_gamma 90.00
loop_
_atom_site_label
_atom_site_fract_x
_atom_site_fract_y
_atom_site_fract_z
_atom_site_occupancy
Ti1 0.000 0.000 0.000 1
P1 0.500 0.500 0.000 1
Pt1 0.500 0.500 0.500 1
S1 0.000 0.500 0.500 1

=====

It is entry B that is the least stable of them.

=====

Entry A
# TlPPtS2 PBE relaxed
# calculated volume	25.67	A^3/atom
data_TlPPtS2
_chemical_formula_sum 'Tl1 P1 Pt1 S2'
_symmetry_space_group_name_H-M 'P 4/m m m'
_symmetry_Int_Tables_number 123
_symmetry_space_group_name_Hall '-P 4 2'
_cell_length_a 5.014
_cell_length_b 5.014
_cell_length_c 5.106
_cell_angle_alpha 90.00
_cell_angle_beta 90.00
_cell_angle_gamma 90.00
loop_
_atom_site_label
_atom_site_fract_x
_atom_site_fract_y
_atom_site_fract_z
_atom_site_occupancy
Tl1 0.000 0.000 0.000 1
P1 0.000 0.000 0.500 1
Pt1 0.500 0.500 0.500 1
S1 0.000 0.500 0.000 1

=====

Entry B
# TlPPtS2 PBE relaxed
# calculated volume	23.26	A^3/atom
data_TlPPtS2
_chemical_formula_sum 'Tl1 P1 Pt1 S2'
_symmetry_space_group_name_H-M 'P 4/m m m'
_symmetry_Int_Tables_number 123
_symmetry_space_group_name_Hall '-P 4 2'
_cell_length_a 5.147
_cell_length_b 5.147
_cell_length_c 4.390
_cell_angle_alpha 90.00
_cell_angle_beta 90.00
_cell_angle_gamma 90.00
loop_
_atom_site_label
_atom_site_fract_x
_atom_site_fract_y
_atom_site_fract_z
_atom_site_occupancy
Tl1 0.000 0.000 0.000 1
P1 0.500 0.500 0.000 1
Pt1 0.500 0.500 0.500 1
S1 0.000 0.500 0.500 1

=====

It is entry A that is the least stable of them.